No. 1
A relaxed AcSmNCl crystal. Source: Alexandria, functional PBE. Values from VASP.

Properties
Formation energy from raw total energies in eV per atom: -1.45
Total DFT energy (no corrections) in eV/cell: -24.8

Quantum ESPRESSO input file:
```
&SYSTEM
  ibrav = 0, nat = 4, ntyp = 4
/
ATOMIC_SPECIES
Ac 227.00 Ac.upf
Sm 150.36 Sm.upf
N 14.01 N.upf
Cl 35.45 Cl.upf
ATOMIC_POSITIONS crystal
Ac 0.000 0.000 0.000
Sm 0.793 0.584 0.377
N 0.410 0.820 0.228
Cl 0.219 0.435 0.653
CELL_PARAMETERS angstrom
3.730 0.000 0.000
-1.861 3.247 0.000
-0.010 -2.153 7.549
```

---

No. 2
A relaxed Sr2AcN2Cl2 crystal. Source: Alexandria, functional PBE. Values from VASP.

Properties
Formation energy from raw total energies in eV per atom: -1.35
Total DFT energy (no corrections) in eV/cell: -37.3

Quantum ESPRESSO input file:
```
&SYSTEM
  ibrav = 0, nat = 7, ntyp = 4
/
ATOMIC_SPECIES
Sr 87.62 Sr.upf
Ac 227.00 Ac.upf
N 14.01 N.upf
Cl 35.45 Cl.upf
ATOMIC_POSITIONS crystal
Sr 0.110 0.110 0.000
Sr 0.890 0.890 0.000
Ac 0.500 0.500 0.000
N 0.000 0.500 0.500
N 0.500 0.000 0.500
Cl 0.304 0.304 0.000
Cl 0.696 0.696 0.000
CELL_PARAMETERS angstrom
-2.389 2.389 7.642
2.389 -2.389 7.642
2.389 2.389 -7.642
```

---

No. 3
A relaxed Na3AcCl6 crystal. Source: Alexandria, functional PBE. Values from VASP.

Properties
Formation energy from raw total energies in eV per atom: -2.02
ΔE to the lowest computed polymorph in meV per atom: 0
Total DFT energy (no corrections) in eV/cell: -78.8

Quantum ESPRESSO input file:
```
&SYSTEM
  ibrav = 0, nat = 20, ntyp = 3
/
ATOMIC_SPECIES
Na 22.99 Na.upf
Ac 227.00 Ac.upf
Cl 35.45 Cl.upf
ATOMIC_POSITIONS crystal
Na 0.060 0.747 0.570
Na 0.253 0.430 0.940
Na 0.430 0.940 0.253
Na 0.570 0.060 0.747
Na 0.747 0.570 0.060
Na 0.940 0.253 0.430
Ac 0.000 0.000 0.000
Ac 0.500 0.500 0.500
Cl 0.041 0.681 0.897
Cl 0.103 0.959 0.319
Cl 0.185 0.418 0.590
Cl 0.319 0.103 0.959
Cl 0.410 0.815 0.582
Cl 0.418 0.590 0.185
Cl 0.582 0.410 0.815
Cl 0.590 0.185 0.418
Cl 0.681 0.897 0.041
Cl 0.815 0.582 0.410
Cl 0.897 0.041 0.681
Cl 0.959 0.319 0.103
CELL_PARAMETERS angstrom
6.059 3.498 4.854
-6.059 3.498 4.854
0.000 -6.996 4.854
```

---

What did we get for ρ? Answer: 7.75; 4.77; 2.74 g cm⁻³, in the order shown.